Material: CoSnSO
Method: DFT, GGA+U
State: optimized geometry

It has space group P6_3mc (No. 186), with a = 3.7625 Å, b = 3.7625 Å, c = 11.9667 Å, α = 90.00°, β = 90.00° and γ = 120.00°. The distinct sites, in fractional coordinates, are Co at (0.0000, 0.0000, 0.0000), Sn at (0.3333, 0.6667, 0.2626), S at (0.3333, 0.6667, 0.5705) and O at (0.0000, 0.0000, 0.3383).

The crystal system is hexagonal. The calculation puts the magnetization at 6.0 μB per cell. The calculation puts the energy above the most stable polymorph in this dataset at 34 meV per atom. Its volume is 18.3 Å³/atom. Its mass density is 5.1 g cm⁻³. The total energy comes out at -41.70 eV for the cell shown.